# PBE-GGA LaWSe, optimized geometry
data_LaWSe
_cell_length_a 3.353
_cell_length_b 3.353
_cell_length_c 11.568
_cell_angle_alpha 90.00
_cell_angle_beta 90.00
_cell_angle_gamma 90.00
_symmetry_space_group_name_H-M 'I 4 m m'
_symmetry_Int_Tables_number 107
_symmetry_space_group_name_Hall 'I 4 -2'
loop_
_atom_site_label
_atom_site_fract_x
_atom_site_fract_y
_atom_site_fract_z
La1 0.000 0.000 0.000
W1 0.000 0.000 0.693
Se1 0.000 0.000 0.292
# V   21.7 A^3/atom
# Total DFT energy (no corrections)   -7.175 eV/atom